# 1
This record from the Alexandria database describes a geometry-optimized TaCuRhO6 structure. The functional is PBE.

Structure (POSCAR):
```
TaCuRhO6
1.0
4.662 0.000 0.000
0.000 4.662 0.000
0.000 0.000 9.217
Ta Cu Rh O
2 2 2 12
direct
0.000 0.000 0.000
0.500 0.500 0.500
0.000 0.000 0.334
0.500 0.500 0.834
0.000 0.000 0.670
0.500 0.500 0.170
0.197 0.197 0.507
0.198 0.198 0.838
0.203 0.203 0.162
0.297 0.703 0.662
0.302 0.698 0.338
0.303 0.697 0.007
0.697 0.303 0.007
0.698 0.302 0.338
0.703 0.297 0.662
0.797 0.797 0.162
0.802 0.802 0.838
0.803 0.803 0.507
```

- D(E_F): 0.760 states/eV/atom
- Formation energy (no corrections): -12.36 eV per formula unit
- Space-group type: No. 102

=====

# 2
This record from the Alexandria database describes a geometry-optimized CuTeRhO6 structure. The functional is PBE.

Structure (POSCAR):
```
CuTeRhO6
1.0
5.169 0.000 0.000
-2.584 4.476 0.000
0.000 0.000 8.923
Cu Te Rh O
2 2 2 12
direct
0.000 0.000 0.000
0.000 0.000 0.500
0.333 0.667 0.250
0.667 0.333 0.750
0.333 0.667 0.750
0.667 0.333 0.250
0.004 0.353 0.130
0.004 0.651 0.370
0.349 0.353 0.370
0.349 0.996 0.130
0.353 0.004 0.630
0.353 0.349 0.870
0.647 0.651 0.130
0.647 0.996 0.370
0.651 0.004 0.870
0.651 0.647 0.630
0.996 0.349 0.630
0.996 0.647 0.870
```

- D(E_F): 0.723 states/eV/atom
- Formation energy (no corrections): -6.34 eV per formula unit
- Space-group type: No. 163

=====

# 3
This record from the Alexandria database describes a geometry-optimized CuTeRh2O6 structure. The functional is PBE.

Structure (POSCAR):
```
CuTeRh2O6
1.0
2.701 1.560 4.625
-2.701 1.560 4.625
0.000 -3.119 4.625
Cu Te Rh O
1 1 2 6
direct
0.000 0.000 0.000
0.483 0.483 0.483
0.275 0.275 0.275
0.779 0.779 0.779
0.080 0.661 0.390
0.156 0.563 0.896
0.390 0.080 0.661
0.563 0.896 0.156
0.661 0.390 0.080
0.896 0.156 0.563
```

- D(E_F): 0.789 states/eV/atom
- Formation energy (no corrections): -6.38 eV per formula unit
- Space-group type: No. 146

=====

# 4
This record from the Alexandria database describes a geometry-optimized ThCu3Rh4O12 structure. The functional is PBE.

Structure (POSCAR):
```
ThCu3Rh4O12
1.0
-3.782 3.782 3.782
3.782 -3.782 3.782
3.782 3.782 -3.782
Th Cu Rh O
1 3 4 12
direct
0.000 0.000 0.000
0.000 0.500 0.500
0.500 0.000 0.500
0.500 0.500 0.000
0.000 0.000 0.500
0.000 0.500 0.000
0.500 0.000 0.000
0.500 0.500 0.500
0.139 0.837 0.302
0.163 0.302 0.465
0.163 0.698 0.861
0.302 0.139 0.837
0.302 0.465 0.163
0.465 0.163 0.302
0.535 0.837 0.698
0.698 0.535 0.837
0.698 0.861 0.163
0.837 0.302 0.139
0.837 0.698 0.535
0.861 0.163 0.698
```

- D(E_F): 0.493 states/eV/atom
- Formation energy (no corrections): -22.43 eV per formula unit
- Space-group type: No. 204

=====

Which value of formation energy (no corrections) does entry 2 give? -6.34 eV per formula unit